This record from Alexandria describes crystalline Ta2InIr at its relaxed geometry. The functional is GGA-PBE.

```
Ta2InIr
1.0
2.9147 0.0059 0.0000
-0.0067 2.9147 0.0000
0.0000 0.0000 8.3896
Ta Ir In
2 1 1
Direct
0.0000 0.0000 0.9754 Ta
0.0000 0.0000 0.5246 Ta
0.5000 0.5000 0.7500 Ir
0.5000 0.5000 0.2500 In
```

Summary:
**Calculated density**: 15.6 g/cm³
**Crystal system**: tetragonal
**Raw total energy**: -36.1 eV/f.u.
**Calculated formation energy**: -0.80 eV per formula unit
**D(E_F)**: 3.22 states/eV/f.u.

***

This record from Alexandria describes crystalline TaInIr3 at its relaxed geometry. The functional is GGA-PBE.

```
TaInIr3
1.0
-4.6587 -0.2816 0.7919
0.0781 -4.5860 -1.1717
0.8368 -1.1400 4.5178
In Ir Ta
1 3 1
Direct
0.0000 0.0000 0.0000 In
0.5000 0.0000 0.0000 Ir
0.0000 0.5000 0.0000 Ir
0.0000 0.0000 0.5000 Ir
0.5000 0.5000 0.5000 Ta
```

Summary:
**Calculated density**: 13.7 g/cm³
**Crystal system**: cubic
**Raw total energy**: -31.1 eV/f.u.
**Relative energy among the computed polymorphs**: 17.68 kcal/mol of atoms
**Calculated formation energy**: 10.05 eV per formula unit
**D(E_F)**: 20.98 states/eV/f.u.

***

This record from Alexandria describes crystalline TaIn3Ir at its relaxed geometry. The functional is GGA-PBE.

```
TaIn3Ir
1.0
5.2835 0.0000 0.0000
0.0000 5.2835 0.0000
0.0000 0.0000 5.2835
Ir Ta In
1 1 3
Direct
0.5000 0.5000 0.5000 Ir
0.0000 0.0000 0.0000 Ta
0.0000 0.5000 0.0000 In
0.5000 0.0000 0.0000 In
0.0000 0.0000 0.5000 In
```

Summary:
**Calculated density**: 8.1 g/cm³
**Crystal system**: cubic
**Raw total energy**: -21.0 eV/f.u.
**Relative energy among the computed polymorphs**: 14.51 kcal/mol of atoms
**Calculated formation energy**: 7.96 eV per formula unit
**D(E_F)**: 5.90 states/eV/f.u.